1.
AlZnNiRh: optimized geometry, PBE.

- DOS at the Fermi energy: 2.85 states/eV/f.u.
- Space-group type: F-43m
- Magnetization: 0.00 μB per cell
- VASP energy: -20.53 eV per formula unit
- ΔE_f: -0.594 eV/atom

Cell and atoms, written as CIF:
```
data_AlZnNiRh
_symmetry_space_group_name_H-M 'P 1'
_symmetry_Int_Tables_number 1
_cell_length_a 4.188
_cell_length_b 4.188
_cell_length_c 4.188
_cell_angle_alpha 60.00
_cell_angle_beta 60.00
_cell_angle_gamma 60.00
loop_
_symmetry_equiv_pos_as_xyz
'x,y,z'
loop_
_atom_site_label
_atom_site_type_symbol
_atom_site_fract_x
_atom_site_fract_y
_atom_site_fract_z
_atom_site_occupancy
Al1 Al 0.000 0.000 0.000 1
Zn1 Zn 0.500 0.500 0.500 1
Ni1 Ni 0.750 0.750 0.750 1
Rh1 Rh 0.250 0.250 0.250 1
```



2.
ZrAlNiRh: optimized geometry, PBE.

- DOS at the Fermi energy: 4.43 states/eV/f.u.
- Space-group type: F-43m
- Magnetization: 0.00 μB per cell
- VASP energy: -28.36 eV per formula unit
- ΔE_f: -0.735 eV/atom

Cell and atoms, written as CIF:
```
data_ZrAlNiRh
_symmetry_space_group_name_H-M 'P 1'
_symmetry_Int_Tables_number 1
_cell_length_a 4.430
_cell_length_b 4.430
_cell_length_c 4.430
_cell_angle_alpha 60.00
_cell_angle_beta 60.00
_cell_angle_gamma 60.00
loop_
_symmetry_equiv_pos_as_xyz
'x,y,z'
loop_
_atom_site_label
_atom_site_type_symbol
_atom_site_fract_x
_atom_site_fract_y
_atom_site_fract_z
_atom_site_occupancy
Zr1 Zr 0.000 0.000 0.000 1
Al1 Al 0.500 0.500 0.500 1
Ni1 Ni 0.750 0.750 0.750 1
Rh1 Rh 0.250 0.250 0.250 1
```



3.
Al2NiRu: optimized geometry, PBE.

- DOS at the Fermi energy: 4.75 states/eV/f.u.
- Space-group type: R3m
- Magnetization: 0.00 μB per cell
- VASP energy: -23.12 eV per formula unit
- ΔE_f: -0.145 eV/atom
- Energy relative to the lowest polymorph listed for this composition: 57.17 kJ per mole of atoms

Cell and atoms, written as CIF:
```
data_Al2NiRu
_symmetry_space_group_name_H-M 'P 1'
_symmetry_Int_Tables_number 1
_cell_length_a 8.395
_cell_length_b 8.395
_cell_length_c 8.395
_cell_angle_alpha 19.09
_cell_angle_beta 19.09
_cell_angle_gamma 19.09
loop_
_symmetry_equiv_pos_as_xyz
'x,y,z'
loop_
_atom_site_label
_atom_site_type_symbol
_atom_site_fract_x
_atom_site_fract_y
_atom_site_fract_z
_atom_site_occupancy
Al1 Al 0.000 0.000 0.000 1
Al2 Al 0.241 0.241 0.241 1
Ni1 Ni 0.499 0.499 0.499 1
Ru1 Ru 0.748 0.748 0.748 1
```



4.
Al2NiRu: optimized geometry, PBE.

- DOS at the Fermi energy: 2.47 states/eV/f.u.
- Space-group type: F-43m
- Magnetization: 0.00 μB per cell
- VASP energy: -23.64 eV per formula unit
- ΔE_f: -0.274 eV/atom
- Energy relative to the lowest polymorph listed for this composition: 44.72 kJ per mole of atoms

Cell and atoms, written as CIF:
```
data_Al2NiRu
_symmetry_space_group_name_H-M 'P 1'
_symmetry_Int_Tables_number 1
_cell_length_a 4.227
_cell_length_b 4.227
_cell_length_c 4.227
_cell_angle_alpha 60.00
_cell_angle_beta 60.00
_cell_angle_gamma 60.00
loop_
_symmetry_equiv_pos_as_xyz
'x,y,z'
loop_
_atom_site_label
_atom_site_type_symbol
_atom_site_fract_x
_atom_site_fract_y
_atom_site_fract_z
_atom_site_occupancy
Al1 Al 0.000 0.000 0.000 1
Al2 Al 0.250 0.250 0.250 1
Ni1 Ni 0.750 0.750 0.750 1
Ru1 Ru 0.500 0.500 0.500 1
```



5.
AlNi2Ru: optimized geometry, PBE.

- DOS at the Fermi energy: 3.41 states/eV/f.u.
- Space-group type: F-43m
- Magnetization: 1.97 μB per cell
- VASP energy: -25.60 eV per formula unit
- ΔE_f: -0.256 eV/atom

Cell and atoms, written as CIF:
```
data_AlNi2Ru
_symmetry_space_group_name_H-M 'P 1'
_symmetry_Int_Tables_number 1
_cell_length_a 4.128
_cell_length_b 4.128
_cell_length_c 4.128
_cell_angle_alpha 60.00
_cell_angle_beta 60.00
_cell_angle_gamma 60.00
loop_
_symmetry_equiv_pos_as_xyz
'x,y,z'
loop_
_atom_site_label
_atom_site_type_symbol
_atom_site_fract_x
_atom_site_fract_y
_atom_site_fract_z
_atom_site_occupancy
Al1 Al 0.000 0.000 0.000 1
Ni1 Ni 0.250 0.250 0.250 1
Ni2 Ni 0.500 0.500 0.500 1
Ru1 Ru 0.750 0.750 0.750 1
```



6.
Al2NiRu: optimized geometry, PBE.

- DOS at the Fermi energy: 2.76 states/eV/f.u.
- Space-group type: P4mm
- Magnetization: 0.00 μB per cell
- VASP energy: -24.10 eV per formula unit
- ΔE_f: -0.390 eV/atom
- Energy relative to the lowest polymorph listed for this composition: 33.52 kJ per mole of atoms

Cell and atoms, written as CIF:
```
data_Al2NiRu
_symmetry_space_group_name_H-M 'P 1'
_symmetry_Int_Tables_number 1
_cell_length_a 3.160
_cell_length_b 3.160
_cell_length_c 5.398
_cell_angle_alpha 90.00
_cell_angle_beta 90.00
_cell_angle_gamma 90.00
loop_
_symmetry_equiv_pos_as_xyz
'x,y,z'
loop_
_atom_site_label
_atom_site_type_symbol
_atom_site_fract_x
_atom_site_fract_y
_atom_site_fract_z
_atom_site_occupancy
Al1 Al 0.000 0.000 0.000 1
Al2 Al 0.500 0.500 0.300 1
Ni1 Ni 0.000 0.000 0.493 1
Ru1 Ru 0.500 0.500 0.795 1
```